Here is a relaxed structure of Al3Au from Alexandria. Energies are from PBE.

For the formation energy from the elements, the calculation gives -0.176 eV per atom. For the total magnetic moment, the calculation gives 0.0 μB/cell. The uncorrected energy comes out at -3.803 eV/atom.

The structure belongs to space group Pnma (No. 62); the cell edges are 6.5538, 8.0130 and 5.3625 Å and the angles 90.00°, 90.00° and 90.00°. The asymmetric unit holds Al at (0.0261, 0.2500, 0.0635), Al at (0.1816, 0.5361, 0.3287) and Au at (0.1139, 0.2500, 0.5459).

---

Here is a relaxed structure of Al3Au from Alexandria. Energies are from PBE.

For the formation energy from the elements, the calculation gives -0.156 eV per atom. For the total magnetic moment, the calculation gives 0.0 μB/cell. The uncorrected energy comes out at -3.782 eV/atom.

The structure belongs to space group Cmmm (No. 65); the cell edges are 5.4309, 7.9315 and 3.0893 Å and the angles 90.00°, 90.00° and 90.00°. The asymmetric unit holds Al at (0.0000, 0.0000, 0.0000), Al at (0.2500, 0.2500, 0.5000) and Au at (0.0000, 0.5000, 0.0000).

---

Here is a relaxed structure of Al4Au5 from Alexandria. Energies are from PBE.

For the formation energy from the elements, the calculation gives -0.195 eV per atom. The energy above the lowest structure with this stoichiometry comes out at 105 meV per atom. For the total magnetic moment, the calculation gives 0.0 μB/cell. The uncorrected energy comes out at -3.679 eV/atom.

The structure belongs to space group I4/mmm (No. 139); the cell edges are 8.5731, 8.5731 and 4.1365 Å and the angles 90.00°, 90.00° and 90.00°. The asymmetric unit holds Al at (0.0000, 0.3320, 0.0000), Au at (0.0000, 0.0000, 0.0000) and Au at (0.1719, 0.1719, 0.5000).

---

Here is a relaxed structure of AlAu5 from Alexandria. Energies are from PBE.

For the formation energy from the elements, the calculation gives -0.140 eV per atom. The energy above the lowest structure with this stoichiometry comes out at 9 meV per atom. For the total magnetic moment, the calculation gives 0.0 μB/cell. The uncorrected energy comes out at -3.494 eV/atom.

The structure belongs to space group P2_1/m (No. 11); the cell edges are 4.9036, 8.9275 and 5.1982 Å and the angles 90.00°, 110.60° and 90.00°. The asymmetric unit holds Al at (0.0072, 0.2500, 0.2943), Au at (0.0292, 0.0821, 0.7467), Au at (0.4345, 0.7500, 0.1768) and Au at (0.4765, 0.0928, 0.2741).

---

Here is a relaxed structure of Al3Au from Alexandria. Energies are from PBE.

For the formation energy from the elements, the calculation gives -0.093 eV per atom. For the total magnetic moment, the calculation gives 0.0 μB/cell. The uncorrected energy comes out at -3.720 eV/atom.

The structure belongs to space group Pm-3n (No. 223); the cell edges are 5.1309, 5.1309 and 5.1309 Å and the angles 90.00°, 90.00° and 90.00°. The asymmetric unit holds Al at (0.0000, 0.2500, 0.5000) and Au at (0.0000, 0.0000, 0.0000).

---

Here is a relaxed structure of Al7Au6 from Alexandria. Energies are from PBE.

For the formation energy from the elements, the calculation gives -0.164 eV per atom. For the total magnetic moment, the calculation gives 0.0 μB/cell. The uncorrected energy comes out at -3.692 eV/atom.

The structure belongs to space group R-3m (No. 166, hexagonal axes); the cell edges are 5.5217, 5.5217 and 27.1499 Å and the angles 90.00°, 90.00° and 120.00°. The asymmetric unit holds Al at (0.0000, 0.0000, 0.0000), Al at (0.0042, 0.5021, 0.5788), Au at (0.0000, 0.0000, 0.1683), Au at (0.0000, 0.0000, 0.3205) and Au at (0.0000, 0.0000, 0.4263).

---

Here is a relaxed structure of Al2Au from Alexandria. Energies are from PBE.

For the formation energy from the elements, the calculation gives 0.110 eV per atom. For the total magnetic moment, the calculation gives 0.0 μB/cell. The uncorrected energy comes out at -3.478 eV/atom.

The structure belongs to space group P6/mmm (No. 191); the cell edges are 4.6306, 4.6306 and 2.8989 Å and the angles 90.00°, 90.00° and 120.00°. The asymmetric unit holds Al at (0.3333, 0.6667, 0.0000) and Au at (0.0000, 0.0000, 0.5000).

---

Here is a relaxed structure of Al4Au5 from Alexandria. Energies are from PBE.

For the formation energy from the elements, the calculation gives -0.262 eV per atom. The energy above the lowest structure with this stoichiometry comes out at 38 meV per atom. For the total magnetic moment, the calculation gives 0.0 μB/cell. The uncorrected energy comes out at -3.746 eV/atom.

The structure belongs to space group P6_3/mcm (No. 193); the cell edges are 7.9284, 7.9284 and 5.5981 Å and the angles 90.00°, 90.00° and 120.00°. The asymmetric unit holds Al at (0.0000, 0.0000, 0.0000), Al at (0.0000, 0.3637, 0.2500), Au at (0.0000, 0.2944, 0.7500) and Au at (0.3333, 0.6667, 0.0000).

---

Here is a relaxed structure of Al5Au from Alexandria. Energies are from PBE.

For the formation energy from the elements, the calculation gives 0.236 eV per atom. For the total magnetic moment, the calculation gives 0.0 μB/cell. The uncorrected energy comes out at -3.429 eV/atom.

The structure belongs to space group P6/mmm (No. 191); the cell edges are 5.2137, 5.2137 and 4.7639 Å and the angles 90.00°, 90.00° and 120.00°. The asymmetric unit holds Al at (0.0000, 0.5000, 0.0000), Al at (0.3333, 0.6667, 0.5000) and Au at (0.0000, 0.0000, 0.5000).

---

Here is a relaxed structure of Al3Au from Alexandria. Energies are from PBE.

For the formation energy from the elements, the calculation gives 0.463 eV per atom. For the total magnetic moment, the calculation gives 0.0 μB/cell. The uncorrected energy comes out at -3.163 eV/atom.

The structure belongs to space group Pm-3m (No. 221); the cell edges are 4.9305, 4.9305 and 4.9305 Å and the angles 90.00°, 90.00° and 90.00°. The asymmetric unit holds Al at (0.0000, 0.0000, 0.5000) and Au at (0.0000, 0.0000, 0.0000).

---

Here is a relaxed structure of AlAu4 from Alexandria. Energies are from PBE.

For the formation energy from the elements, the calculation gives -0.194 eV per atom. The energy above the lowest structure with this stoichiometry comes out at 16 meV per atom. For the total magnetic moment, the calculation gives 0.0 μB/cell. The uncorrected energy comes out at -3.564 eV/atom.

The structure belongs to space group Cmmm (No. 65); the cell edges are 4.3082, 10.0448 and 4.3061 Å and the angles 90.00°, 90.00° and 90.00°. The asymmetric unit holds Al at (0.0000, 0.0000, 0.0000), Au at (0.0000, 0.1459, 0.5000) and Au at (0.0000, 0.3527, 0.0000).

---

Here is a relaxed structure of AlAu5 from Alexandria. Energies are from PBE.

For the formation energy from the elements, the calculation gives -0.123 eV per atom. The energy above the lowest structure with this stoichiometry comes out at 26 meV per atom. For the total magnetic moment, the calculation gives 0.0 μB/cell. The uncorrected energy comes out at -3.478 eV/atom.

The structure belongs to space group Amm2 (No. 38); the cell edges are 4.7406, 3.0521 and 14.6043 Å and the angles 90.00°, 90.00° and 90.00°. The asymmetric unit holds Al at (0.0000, 0.0000, 0.0000), Au at (0.0000, 0.0000, 0.3422), Au at (0.0000, 0.0000, 0.6558), Au at (0.5000, 0.0000, 0.2153), Au at (0.5000, 0.0000, 0.5450) and Au at (0.5000, 0.0000, 0.8819).

---

Here is a relaxed structure of Al5Au from Alexandria. Energies are from PBE.

For the formation energy from the elements, the calculation gives 0.169 eV per atom. For the total magnetic moment, the calculation gives 0.0 μB/cell. The uncorrected energy comes out at -3.496 eV/atom.

The structure belongs to space group F-43m (No. 216); the cell edges are 7.5117, 7.5117 and 7.5117 Å and the angles 90.00°, 90.00° and 90.00°. The asymmetric unit holds Al at (0.0000, 0.0000, 0.0000), Al at (0.1254, 0.1254, 0.6254) and Au at (0.2500, 0.2500, 0.2500).

---

Here is a relaxed structure of Al2Au from Alexandria. Energies are from PBE.

For the formation energy from the elements, the calculation gives -0.192 eV per atom. For the total magnetic moment, the calculation gives 0.0 μB/cell. The uncorrected energy comes out at -3.780 eV/atom.

The structure belongs to space group Immm (No. 71); the cell edges are 3.4632, 3.8649 and 7.7368 Å and the angles 90.00°, 90.00° and 90.00°. The asymmetric unit holds Al at (0.0000, 0.0000, 0.1644) and Au at (0.0000, 0.0000, 0.5000).

---

Here is a relaxed structure of Al4Au from Alexandria. Energies are from PBE.

For the formation energy from the elements, the calculation gives -0.109 eV per atom. The energy above the lowest structure with this stoichiometry comes out at 0 meV per atom. For the total magnetic moment, the calculation gives 0.0 μB/cell. The uncorrected energy comes out at -3.758 eV/atom.

The structure belongs to space group I4/m (No. 87); the cell edges are 6.2791, 6.2791 and 4.2364 Å and the angles 90.00°, 90.00° and 90.00°. The asymmetric unit holds Al at (0.1059, 0.3063, 0.0000) and Au at (0.0000, 0.0000, 0.5000).

---

Here is a relaxed structure of AlAu2 from Alexandria. Energies are from PBE.

For the formation energy from the elements, the calculation gives -0.235 eV per atom. For the total magnetic moment, the calculation gives 0.0 μB/cell. The uncorrected energy comes out at -3.667 eV/atom.

The structure belongs to space group P-3m1 (No. 164); the cell edges are 3.1688, 3.1688 and 6.1432 Å and the angles 90.00°, 90.00° and 120.00°. The asymmetric unit holds Al at (0.0000, 0.0000, 0.0000) and Au at (0.3333, 0.6667, 0.3071).

---

Here is a relaxed structure of Al2Au from Alexandria. Energies are from PBE.

For the formation energy from the elements, the calculation gives -0.148 eV per atom. For the total magnetic moment, the calculation gives 0.0 μB/cell. The uncorrected energy comes out at -3.735 eV/atom.

The structure belongs to space group I4/mmm (No. 139); the cell edges are 2.9438, 2.9438 and 11.6762 Å and the angles 90.00°, 90.00° and 90.00°. The asymmetric unit holds Al at (0.0000, 0.0000, 0.1644) and Au at (0.0000, 0.0000, 0.5000).

---

Here is a relaxed structure of AlAu2 from Alexandria. Energies are from PBE.

For the formation energy from the elements, the calculation gives -0.294 eV per atom. For the total magnetic moment, the calculation gives 0.0 μB/cell. The uncorrected energy comes out at -3.726 eV/atom.

The structure belongs to space group Fm-3m (No. 225); the cell edges are 6.1003, 6.1003 and 6.1003 Å and the angles 90.00°, 90.00° and 90.00°. The asymmetric unit holds Al at (0.0000, 0.0000, 0.0000) and Au at (0.2500, 0.2500, 0.2500).

---

Here is a relaxed structure of Al2Au from Alexandria. Energies are from PBE.

For the formation energy from the elements, the calculation gives -0.176 eV per atom. For the total magnetic moment, the calculation gives 0.0 μB/cell. The uncorrected energy comes out at -3.764 eV/atom.

The structure belongs to space group C2/m (No. 12); the cell edges are 7.6325, 4.4775 and 3.6645 Å and the angles 90.00°, 110.02° and 90.00°. The asymmetric unit holds Al at (0.1408, 0.0000, 0.3342) and Au at (0.0000, 0.5000, 0.5000).

---

Here is a relaxed structure of Al5Au4 from Alexandria. Energies are from PBE.

For the formation energy from the elements, the calculation gives -0.217 eV per atom. The energy above the lowest structure with this stoichiometry comes out at 0 meV per atom. For the total magnetic moment, the calculation gives 0.0 μB/cell. The uncorrected energy comes out at -3.753 eV/atom.

The structure belongs to space group I4/mmm (No. 139); the cell edges are 8.6275, 8.6275 and 4.0701 Å and the angles 90.00°, 90.00° and 90.00°. The asymmetric unit holds Al at (0.0000, 0.0000, 0.0000), Al at (0.1690, 0.1690, 0.5000) and Au at (0.0000, 0.3086, 0.0000).